# ZnTe2As PBE-GGA relaxed
data_ZnTe2As
_cell_length_a 3.9266
_cell_length_b 3.9297
_cell_length_c 7.9528
_cell_angle_alpha 90.00
_cell_angle_beta 90.00
_cell_angle_gamma 90.00
_symmetry_space_group_name_H-M 'P m m m'
_symmetry_Int_Tables_number 47
loop_
_symmetry_equiv_pos_as_xyz
'x,y,z'
'-x,-y,-z'
'-x,-y,z'
'x,y,-z'
'x,-y,-z'
'-x,y,z'
'-x,y,-z'
'x,-y,z'
loop_
_atom_site_label
_atom_site_type_symbol
_atom_site_fract_x
_atom_site_fract_y
_atom_site_fract_z
Zn1 Zn 0.0000 0.0000 0.0000
Te1 Te 0.0000 0.5000 0.5000
Te2 Te 0.5000 0.5000 0.0000
As1 As 0.5000 0.0000 0.5000
# Formation energy (no corrections) in meV/atom: 214
# Total DFT energy (no corrections) in eV/atom: -2.8381
# Energy above the lowest structure with this stoichiometry in eV/atom: 0.277
# D(E_F) in states/eV/f.u.: 3.00